Material: MnSi2Ir
Method: DFT, PBE-GGA
State: relaxed

Calculated values
Symmetry: Cm, No. 8
DOS at the Fermi energy (states/eV/atom): 0.551
Energy (hartree per atom): -0.28156

Cell lengths 4.5257, 4.5257, 4.2930 Å; angles 75.39, 75.39, 36.56 degrees
Last column: magnetic moment on the atom in μB.
Sites, in units of the cell vectors:
Ir  0.4925  0.4925  0.5639  -0.02
Mn  0.2600  0.2600  0.1681  1.46
Si  0.9996  0.9996  0.0637  -0.05
Si  0.7480  0.7480  0.7043  -0.04